Crystalline LiCaAs at its relaxed geometry. Source: the Alexandria database, functional GGA-PBE.

* energy of formation: -1044 meV per atom

The structure in CIF format:
```
data_LiCaAs
_cell_length_a 4.259
_cell_length_b 4.259
_cell_length_c 6.967
_cell_angle_alpha 90.00
_cell_angle_beta 90.00
_cell_angle_gamma 90.00
_space_group_name_H-M_alt 'P 1'
_space_group_IT_number 1
loop_
_space_group_symop_operation_xyz
'x,y,z'
loop_
_atom_site_label
_atom_site_type_symbol
_atom_site_fract_x
_atom_site_fract_y
_atom_site_fract_z
_atom_site_occupancy
Li1 Li 0.250 0.750 0.000 1
Li2 Li 0.750 0.250 0.000 1
Ca1 Ca 0.250 0.250 0.332 1
Ca2 Ca 0.750 0.750 0.668 1
As1 As 0.250 0.250 0.767 1
As2 As 0.750 0.750 0.233 1
```